PuGa2Fe2C | Alexandria via LeMat-Bulk | PBE | optimized geometry; total magnetic moment = 5.90 μB per formula unit; DFT formation energy = -0.2068 eV per atom
1.0
3.8657 0.0000 0.0000
0.0000 3.8657 0.0000
0.0000 0.0000 5.5657
Pu Ga Fe C
1 2 2 1
Direct
0.0000 0.0000 0.0000 Pu
0.5000 0.5000 0.2286 Ga
0.5000 0.5000 0.7714 Ga
0.0000 0.5000 0.5000 Fe
0.5000 0.0000 0.5000 Fe
0.0000 0.0000 0.5000 C



Ca5AgPd6 | Alexandria via LeMat-Bulk | PBE | optimized geometry; total magnetic moment = 0.00 μB per formula unit; DFT formation energy = -0.5769 eV per atom
1.0
-2.3856 3.6067 7.2387
2.3856 -3.6067 7.2387
2.3856 3.6067 -7.2387
Ca Ag Pd
5 1 6
Direct
0.0000 0.0000 0.0000 Ca
0.1723 0.6723 0.5000 Ca
0.3465 0.3465 0.0000 Ca
0.6535 0.6535 0.0000 Ca
0.8277 0.3277 0.5000 Ca
0.5000 0.0000 0.5000 Ag
0.0886 0.8373 0.2513 Pd
0.2422 0.5000 0.7422 Pd
0.4140 0.1627 0.2513 Pd
0.5860 0.8373 0.7487 Pd
0.7578 0.5000 0.2578 Pd
0.9114 0.1627 0.7487 Pd



Be4VCo | Alexandria via LeMat-Bulk | PBE | optimized geometry; total magnetic moment = 2.03 μB per formula unit; DFT formation energy = -0.2500 eV per atom
1.0
0.0000 3.0008 3.0008
3.0008 0.0000 3.0008
3.0008 3.0008 0.0000
Be V Co
4 1 1
Direct
0.1246 0.1246 0.1246 Be
0.1246 0.1246 0.6261 Be
0.1246 0.6261 0.1246 Be
0.6261 0.1246 0.1246 Be
0.7500 0.7500 0.7500 V
0.5000 0.5000 0.5000 Co



Ca2MoPt | Alexandria via LeMat-Bulk | PBE | optimized geometry; total magnetic moment = 0.00 μB per formula unit; DFT formation energy = 0.1204 eV per atom; offset from the most stable computed form = 6.10 kJ/mol of atoms
1.0
4.3099 0.0000 0.0000
0.0000 4.3194 0.0000
0.0000 0.0000 9.0493
Ca Mo Pt
4 2 2
Direct
0.0000 0.0000 0.2293 Ca
0.0000 0.0000 0.7707 Ca
0.5000 0.5000 0.2293 Ca
0.5000 0.5000 0.7707 Ca
0.0000 0.5000 0.5000 Mo
0.5000 0.0000 0.5000 Mo
0.0000 0.5000 0.0000 Pt
0.5000 0.0000 0.0000 Pt



Ac2TmZrO6 | Alexandria via LeMat-Bulk | PBE | optimized geometry; calculated total energy = -8.3897 eV per atom; total magnetic moment = 1.00 μB per formula unit
1.0
6.0283 0.0000 0.0000
0.0000 6.0453 0.0000
-5.9747 0.0000 8.4613
Ac Tm Zr O
4 2 2 12
Direct
0.2375 0.0568 0.2469 Ac
0.2375 0.4432 0.7469 Ac
0.7625 0.5568 0.2531 Ac
0.7625 0.9432 0.7531 Ac
0.5000 0.0000 0.0000 Tm
0.5000 0.5000 0.5000 Tm
0.0000 0.0000 0.5000 Zr
0.0000 0.5000 0.0000 Zr
0.1426 0.2033 0.9419 O
0.1426 0.2967 0.4419 O
0.2521 0.6946 0.9508 O
0.2521 0.8054 0.4508 O
0.3496 0.0245 0.7472 O
0.3496 0.4755 0.2472 O
0.6504 0.5245 0.7528 O
0.6504 0.9755 0.2528 O
0.7479 0.1946 0.5492 O
0.7479 0.3054 0.0492 O
0.8574 0.7033 0.5581 O
0.8574 0.7967 0.0581 O



Zn5Te3 | Alexandria via LeMat-Bulk | PBE | optimized geometry; total magnetic moment = 0.00 μB per formula unit; offset from the most stable computed form = 18.12 kJ/mol of atoms
1.0
7.4218 0.0000 0.0000
0.0000 12.4237 0.0000
0.0000 0.0000 4.1387
Zn Te
10 6
Direct
0.0000 0.0000 0.0000 Zn
0.2464 0.0000 0.5000 Zn
0.2500 0.2500 0.0000 Zn
0.2500 0.7500 0.0000 Zn
0.2536 0.5000 0.5000 Zn
0.5000 0.5000 0.0000 Zn
0.7464 0.5000 0.5000 Zn
0.7500 0.2500 0.0000 Zn
0.7500 0.7500 0.0000 Zn
0.7536 0.0000 0.5000 Zn
0.0000 0.1886 0.5000 Te
0.0000 0.5000 0.0000 Te
0.0000 0.8114 0.5000 Te
0.5000 0.0000 0.0000 Te
0.5000 0.3114 0.5000 Te
0.5000 0.6886 0.5000 Te



NaCd4In | Alexandria via LeMat-Bulk | PBE | optimized geometry; total magnetic moment = 0.00 μB per formula unit; DFT formation energy = -0.0376 eV per atom; offset from the most stable computed form = 0.00 kJ/mol of atoms
1.0
5.3096 0.0000 0.0000
0.0000 10.4849 0.0000
-1.2937 0.0000 5.1970
Na Cd In
2 8 2
Direct
0.0000 0.0000 0.0000 Na
0.5000 0.5000 0.0000 Na
0.0000 0.1711 0.5000 Cd
0.0000 0.3253 0.0000 Cd
0.0000 0.6747 0.0000 Cd
0.0000 0.8289 0.5000 Cd
0.5000 0.1747 0.0000 Cd
0.5000 0.3289 0.5000 Cd
0.5000 0.6711 0.5000 Cd
0.5000 0.8253 0.0000 Cd
0.0000 0.5000 0.5000 In
0.5000 0.0000 0.5000 In



BaIr2Pd | Alexandria via LeMat-Bulk | PBE | optimized geometry; total magnetic moment = 1.72 μB per formula unit; DFT formation energy = 0.8709 eV per atom; offset from the most stable computed form = 62.25 kJ/mol of atoms
1.0
6.8333 0.0000 0.0000
0.0000 6.8333 0.0000
0.0000 0.0000 6.8333
Ba Ir Pd
4 8 4
Direct
0.0000 0.0000 0.0000 Ba
0.0000 0.5000 0.5000 Ba
0.5000 0.0000 0.5000 Ba
0.5000 0.5000 0.0000 Ba
0.2500 0.2500 0.2500 Ir
0.2500 0.2500 0.7500 Ir
0.2500 0.7500 0.2500 Ir
0.2500 0.7500 0.7500 Ir
0.7500 0.2500 0.2500 Ir
0.7500 0.2500 0.7500 Ir
0.7500 0.7500 0.2500 Ir
0.7500 0.7500 0.7500 Ir
0.0000 0.0000 0.5000 Pd
0.0000 0.5000 0.0000 Pd
0.5000 0.0000 0.0000 Pd
0.5000 0.5000 0.5000 Pd



MnPbW2 | Alexandria via LeMat-Bulk | PBE | optimized geometry; total magnetic moment = 2.87 μB per formula unit; DFT formation energy = 0.8198 eV per atom
1.0
6.5025 0.0000 0.0000
0.0000 6.5025 0.0000
0.0000 0.0000 6.5025
Mn Pb W
4 4 8
Direct
0.0000 0.0000 0.0000 Mn
0.0000 0.5000 0.5000 Mn
0.5000 0.0000 0.5000 Mn
0.5000 0.5000 0.0000 Mn
0.2500 0.2500 0.2500 Pb
0.2500 0.7500 0.7500 Pb
0.7500 0.2500 0.7500 Pb
0.7500 0.7500 0.2500 Pb
0.0000 0.0000 0.5000 W
0.0000 0.5000 0.0000 W
0.2500 0.2500 0.7500 W
0.2500 0.7500 0.2500 W
0.5000 0.0000 0.0000 W
0.5000 0.5000 0.5000 W
0.7500 0.2500 0.2500 W
0.7500 0.7500 0.7500 W



Ho5Tm4 | Alexandria via LeMat-Bulk | PBE | optimized geometry; total magnetic moment = 0.00 μB per formula unit; DFT formation energy = 0.0239 eV per atom
1.0
5.8031 -5.2526 0.0000
5.8031 5.2526 0.0000
-2.0979 0.0000 4.4742
Ho Tm
5 4
Direct
0.0000 0.0000 0.0000 Ho
0.3328 0.3328 0.3328 Ho
0.3329 0.6671 0.0000 Ho
0.6671 0.3329 0.0000 Ho
0.6672 0.6672 0.6672 Ho
0.0000 0.3332 0.6666 Tm
0.0000 0.6668 0.3334 Tm
0.3332 0.0000 0.6666 Tm
0.6668 0.0000 0.3334 Tm



LiLa2NiW | Alexandria via LeMat-Bulk | PBE | optimized geometry; total magnetic moment = 0.00 μB per formula unit; DFT formation energy = 0.5644 eV per atom
1.0
5.6044 0.0000 0.0000
0.0000 5.6044 0.0000
0.0000 0.0000 4.5014
Li La Ni W
1 2 1 1
Direct
0.0000 0.0000 0.0000 Li
0.0000 0.5000 0.5000 La
0.5000 0.0000 0.5000 La
0.5000 0.5000 0.5000 Ni
0.5000 0.5000 0.0000 W



MgPbN2O | Alexandria via LeMat-Bulk | PBE | optimized geometry; calculated total energy = -4.3737 eV per atom; total magnetic moment = 2.00 μB per formula unit
1.0
4.3682 0.0000 0.0000
0.0000 4.3682 0.0000
0.0000 0.0000 4.3839
Mg Pb N O
1 1 2 1
Direct
0.0000 0.0000 0.0000 Mg
0.5000 0.5000 0.5000 Pb
0.0000 0.5000 0.5000 N
0.5000 0.0000 0.5000 N
0.5000 0.5000 0.0000 O



Look up the total magnetic moment of the fourth one.
0.00 μB per formula unit



What is the formula in the fourth record?
Ca2MoPt



Please write out number 8 again, unchanged.
BaIr2Pd | Alexandria via LeMat-Bulk | PBE | optimized geometry; total magnetic moment = 1.72 μB per formula unit; DFT formation energy = 0.8709 eV per atom; offset from the most stable computed form = 62.25 kJ/mol of atoms
1.0
6.8333 0.0000 0.0000
0.0000 6.8333 0.0000
0.0000 0.0000 6.8333
Ba Ir Pd
4 8 4
Direct
0.0000 0.0000 0.0000 Ba
0.0000 0.5000 0.5000 Ba
0.5000 0.0000 0.5000 Ba
0.5000 0.5000 0.0000 Ba
0.2500 0.2500 0.2500 Ir
0.2500 0.2500 0.7500 Ir
0.2500 0.7500 0.2500 Ir
0.2500 0.7500 0.7500 Ir
0.7500 0.2500 0.2500 Ir
0.7500 0.2500 0.7500 Ir
0.7500 0.7500 0.2500 Ir
0.7500 0.7500 0.7500 Ir
0.0000 0.0000 0.5000 Pd
0.0000 0.5000 0.0000 Pd
0.5000 0.0000 0.0000 Pd
0.5000 0.5000 0.5000 Pd